Entry 1:
A relaxed structure of Hf3ZrPd2. Source: the Open Quantum Materials Database, functional PBE.

Summary:
Magnetization ... 0.004 μB per atom
Energy of formation ... -520 meV per atom
Mass density ... 11.89 g cm⁻³

Cell and atoms, written as POSCAR:
```
Hf3ZrPd2
1.0
3.305 0.000 0.000
0.000 3.305 0.000
0.000 0.000 10.732
Hf Pd Zr
3 2 1
direct
0.500 0.500 0.345
0.500 0.500 0.658
0.000 0.000 0.841
0.000 0.000 0.499
0.500 0.500 0.996
0.000 0.000 0.160
```

***

Entry 2:
A relaxed structure of Hf4Ta2P3C3. Source: the Open Quantum Materials Database, functional PBE.

Summary:
Magnetization ... 0.000 μB per atom
Mass density ... 11.48 g cm⁻³
Final energy ... -239.34 eV per cell

Cell and atoms, written as POSCAR:
```
Hf4Ta2P3C3
1.0
-2.767 -5.055 -0.710
1.979 -3.877 -3.843
7.078 -1.946 9.993
C Hf P Ta
6 8 6 4
direct
0.664 0.171 0.000
0.000 0.500 0.000
0.336 0.829 0.000
0.171 0.664 0.500
0.500 0.000 0.500
0.829 0.336 0.500
0.701 0.870 0.105
0.036 0.200 0.105
0.800 0.964 0.395
0.130 0.299 0.395
0.870 0.701 0.605
0.200 0.036 0.605
0.964 0.800 0.895
0.299 0.130 0.895
0.738 0.584 0.250
0.095 0.905 0.250
0.416 0.262 0.250
0.584 0.738 0.750
0.905 0.095 0.750
0.262 0.416 0.750
0.364 0.533 0.099
0.467 0.636 0.401
0.533 0.364 0.599
0.636 0.467 0.901
```

***

Entry 3:
A relaxed structure of Gd3Al3CuIr2. Source: the Open Quantum Materials Database, functional PBE.

Summary:
Magnetization ... 0.000 μB per atom
Mass density ... 9.51 g cm⁻³
Final energy ... -53.14 eV per cell

Cell and atoms, written as POSCAR:
```
Gd3Al3CuIr2
1.0
-3.698 5.225 2.839
-3.290 -5.614 -2.588
0.234 -1.832 3.677
Al Cu Gd Ir
3 1 3 2
direct
0.240 0.000 0.500
0.000 0.240 0.500
0.760 0.760 0.500
0.000 0.000 0.000
0.585 0.000 0.000
0.415 0.415 0.000
0.000 0.585 0.000
0.667 0.333 0.500
0.333 0.667 0.500
```

***

Entry 4:
A relaxed structure of Gd3DyHo2Te2Pt. Source: the Open Quantum Materials Database, functional PBE.

Summary:
Magnetization ... 0.034 μB per atom
Mass density ... 9.63 g cm⁻³
Final energy ... -48.41 eV per cell

Cell and atoms, written as POSCAR:
```
Gd3DyHo2Te2Pt
1.0
3.979 0.000 0.000
0.000 7.290 4.205
0.000 -7.290 4.205
Dy Gd Ho Pt Te
1 3 2 1 2
direct
0.500 0.245 0.245
0.000 0.402 0.000
0.000 0.000 0.402
0.000 0.598 0.598
0.500 0.756 0.000
0.500 0.000 0.756
0.000 0.999 0.999
0.500 0.667 0.333
0.500 0.333 0.667
```

***

Entry 5:
A relaxed structure of Li4Ga2CuHg. Source: the Open Quantum Materials Database, functional PBE.

Summary:
Mass density ... 6.05 g cm⁻³
Final energy ... -20.09 eV per cell

Cell and atoms, written as POSCAR:
```
Li4Ga2CuHg
1.0
-2.877 0.014 -3.265
-1.367 -3.957 1.188
-4.263 2.605 3.768
Cu Ga Hg Li
1 2 1 4
direct
0.000 0.000 0.500
0.000 0.500 0.280
0.500 0.000 0.720
0.500 0.500 0.000
0.000 0.000 0.000
0.500 0.000 0.268
0.500 0.500 0.500
0.000 0.500 0.732
```

***

Entry 6:
A relaxed structure of Cs3PdO2. Source: the Open Quantum Materials Database, functional PBE.

Summary:
Mass density ... 5.03 g cm⁻³
Final energy ... -45.45 eV per cell

Cell and atoms, written as POSCAR:
```
Cs3PdO2
1.0
-2.314 5.910 0.240
-9.627 -3.515 -6.267
-2.207 -1.025 3.965
Cs O Pd
6 4 2
direct
0.440 0.278 0.000
0.000 0.500 0.000
0.560 0.722 0.000
0.500 0.000 0.500
0.940 0.222 0.500
0.060 0.778 0.500
0.772 0.111 0.000
0.228 0.889 0.000
0.272 0.389 0.500
0.728 0.611 0.500
0.000 0.000 0.000
0.500 0.500 0.500
```

***

Entry 7:
A relaxed structure of InHg3GeTe4. Source: the Open Quantum Materials Database, functional PBE.

Summary:
Energy above the lowest structure with this stoichiometry ... 6 meV/atom
Mass density ... 6.13 g cm⁻³

Cell and atoms, written as POSCAR:
```
InHg3GeTe4
1.0
7.061 0.000 0.000
0.000 7.061 0.000
0.000 0.000 7.061
Ge Hg In Te
1 3 1 4
direct
0.500 0.500 0.500
0.500 0.500 0.000
0.500 0.000 0.500
0.000 0.500 0.500
0.000 0.000 0.000
0.267 0.267 0.267
0.733 0.733 0.267
0.733 0.267 0.733
0.267 0.733 0.733
```

***

Entry 8:
A relaxed structure of PrSmGa2. Source: the Open Quantum Materials Database, functional PBE.

Summary:
Magnetization ... 0.005 μB per atom
Mass density ... 6.77 g cm⁻³
Final energy ... -17.92 eV per cell

Cell and atoms, written as POSCAR:
```
PrSmGa2
1.0
-2.635 2.203 -2.377
-4.651 -1.806 3.480
-2.845 1.988 4.996
Ga Pr Sm
2 1 1
direct
0.500 0.070 0.070
0.000 0.927 0.927
0.000 0.642 0.642
0.500 0.360 0.360
```

***

Entry 9:
A relaxed structure of ZnSiAs. Source: the Open Quantum Materials Database, functional PBE.

Summary:
Mass density ... 4.78 g cm⁻³
Final energy ... -10.25 eV per cell

Cell and atoms, written as POSCAR:
```
ZnSiAs
1.0
0.000 3.082 3.082
3.082 0.000 3.082
3.082 3.082 0.000
As Si Zn
1 1 1
direct
0.250 0.250 0.250
0.000 0.000 0.000
0.750 0.750 0.750
```

***

Entry 10:
A relaxed structure of Gd2DyTl2Zn3Cd. Source: the Open Quantum Materials Database, functional PBE.

Summary:
Magnetization ... 0.001 μB per atom
Mass density ... 9.49 g cm⁻³
Final energy ... -26.10 eV per cell

Cell and atoms, written as POSCAR:
```
Gd2DyTl2Zn3Cd
1.0
4.555 0.000 0.000
0.000 6.286 3.648
0.000 -6.286 3.648
Cd Dy Gd Tl Zn
1 1 2 2 3
direct
0.000 0.998 0.998
0.000 0.573 0.573
0.000 0.428 0.001
0.000 0.001 0.428
0.500 0.666 0.335
0.500 0.335 0.666
0.500 0.769 0.000
0.500 0.230 0.230
0.500 0.000 0.769
```

***

Entry 11:
A relaxed structure of Dy2Lu3ScBi2Os. Source: the Open Quantum Materials Database, functional PBE.

Summary:
Magnetization ... 0.005 μB per atom
Mass density ... 10.44 g cm⁻³
Final energy ... -53.43 eV per cell

Cell and atoms, written as POSCAR:
```
Dy2Lu3ScBi2Os
1.0
-0.047 3.355 -2.501
-2.120 4.656 6.287
7.849 -1.134 -1.671
Bi Dy Lu Os Sc
2 2 3 1 1
direct
0.500 0.660 0.335
0.500 0.335 0.660
0.000 0.999 0.612
0.000 0.612 0.999
0.500 0.235 0.002
0.500 0.002 0.235
0.500 0.771 0.771
0.000 0.006 0.006
0.000 0.379 0.379
```

***

Entry 12:
A relaxed structure of Cu2Ag3. Source: the Open Quantum Materials Database, functional PBE.

Summary:
Energy above the lowest structure with this stoichiometry ... 64 meV/atom
Energy of formation ... 96 meV per atom
Mass density ... 9.66 g cm⁻³

Cell and atoms, written as POSCAR:
```
Cu2Ag3
1.0
-0.212 -4.737 -0.761
2.286 -0.365 1.637
-6.665 -0.022 9.304
Ag Cu
6 4
direct
0.471 0.500 0.008
0.923 0.500 0.184
0.800 0.000 0.392
0.299 0.500 0.407
0.717 0.500 0.603
0.591 0.000 0.803
0.411 0.000 0.205
0.206 0.000 0.612
0.095 0.500 0.800
0.987 0.000 0.984
```

***

Entry 13:
A relaxed structure of NbInAgS3. Source: the Open Quantum Materials Database, functional PBE.

Summary:
Magnetization ... 0.053 μB per atom
Mass density ... 5.11 g cm⁻³
Final energy ... -62.68 eV per cell

Cell and atoms, written as POSCAR:
```
NbInAgS3
1.0
1.732 -7.901 0.000
1.732 7.901 0.000
0.000 0.000 9.775
Ag In Nb S
2 2 2 6
direct
0.307 0.693 0.250
0.693 0.307 0.750
0.664 0.336 0.250
0.336 0.664 0.750
0.000 0.000 0.000
0.000 0.000 0.500
0.388 0.612 0.031
0.034 0.966 0.250
0.388 0.612 0.469
0.612 0.388 0.531
0.966 0.034 0.750
0.612 0.388 0.969
```

***

Entry 14:
A relaxed structure of Pr3Zn2Cu2Si4. Source: the Open Quantum Materials Database, functional PBE.

Summary:
Energy above the lowest structure with this stoichiometry ... 22 meV/atom
Magnetization ... 0.000 μB per atom
Mass density ... 6.14 g cm⁻³

Cell and atoms, written as POSCAR:
```
Pr3Zn2Cu2Si4
1.0
6.819 9.183 5.426
2.079 12.027 3.360
-5.831 -11.087 -1.831
Cu Pr Si Zn
2 3 4 2
direct
0.406 0.406 0.000
0.594 0.594 0.000
0.145 0.145 0.000
0.855 0.855 0.000
0.000 0.500 0.500
0.311 0.311 0.000
0.689 0.689 0.000
0.549 0.049 0.500
0.451 0.951 0.500
0.750 0.250 0.500
0.250 0.750 0.500
```

***

Entry 15:
A relaxed structure of LaYCuSi3. Source: the Open Quantum Materials Database, functional PBE.

Summary:
Energy above the lowest structure with this stoichiometry ... 0 meV/atom
Magnetization ... 0.001 μB per atom
Mass density ... 5.20 g cm⁻³

Cell and atoms, written as POSCAR:
```
LaYCuSi3
1.0
0.000 4.246 6.977
4.045 0.000 6.977
4.045 4.246 0.000
Cu La Si Y
2 2 6 2
direct
0.668 0.668 0.332
0.332 0.332 0.668
0.244 0.756 0.244
0.756 0.244 0.756
0.832 0.340 0.168
0.830 0.830 0.170
0.660 0.168 0.340
0.340 0.832 0.660
0.170 0.170 0.830
0.168 0.660 0.832
0.250 0.250 0.250
0.750 0.750 0.750
```

***

Entry 16:
A relaxed structure of ScInCoAu. Source: the Open Quantum Materials Database, functional PBE.

Summary:
Energy above the lowest structure with this stoichiometry ... 0 meV/atom
Magnetization ... 0.296 μB per atom
Mass density ... 9.91 g cm⁻³

Cell and atoms, written as POSCAR:
```
ScInCoAu
1.0
3.108 -2.304 2.521
2.330 2.173 3.343
-0.878 -0.965 4.430
Au Co In Sc
1 1 1 1
direct
0.250 0.250 0.250
0.750 0.750 0.750
0.000 0.000 0.000
0.500 0.500 0.500
```

***

Entry 17:
A relaxed structure of Y2Ho2CBr5. Source: the Open Quantum Materials Database, functional PBE.

Summary:
Magnetization ... 0.023 μB per atom
Mass density ... 5.76 g cm⁻³
Final energy ... -53.98 eV per cell

Cell and atoms, written as POSCAR:
```
Y2Ho2CBr5
1.0
8.863 -1.898 0.000
8.863 1.898 0.000
-1.837 0.000 7.878
Br C Ho Y
5 1 2 2
direct
0.830 0.830 0.175
0.164 0.164 0.343
0.500 0.500 0.500
0.836 0.836 0.657
0.170 0.170 0.825
0.500 0.500 0.000
0.999 0.999 0.200
0.001 0.001 0.800
0.639 0.639 0.073
0.361 0.361 0.927
```

***

Entry 18:
A relaxed structure of DyY4Er2Ni2Se2. Source: the Open Quantum Materials Database, functional PBE.

Summary:
Magnetization ... 0.002 μB per atom
Mass density ... 6.99 g cm⁻³
Final energy ... -66.70 eV per cell

Cell and atoms, written as POSCAR:
```
DyY4Er2Ni2Se2
1.0
6.897 -5.894 -0.287
-8.041 -2.959 2.995
6.209 2.202 -6.244
Dy Er Ni Se Y
1 2 2 2 4
direct
0.484 0.484 0.000
0.413 0.098 0.315
0.782 0.098 0.685
0.646 0.407 0.239
0.169 0.407 0.761
0.144 0.144 0.000
0.738 0.238 0.500
0.018 0.894 0.124
0.101 0.741 0.360
0.381 0.741 0.640
0.770 0.894 0.876
```

***

Entry 19:
A relaxed structure of Ag6IrF12. Source: the Open Quantum Materials Database, functional PBE.

Summary:
Magnetization ... 0.072 μB per atom
Mass density ... 6.50 g cm⁻³
Final energy ... -70.91 eV per cell

Cell and atoms, written as POSCAR:
```
Ag6IrF12
1.0
-1.517 -2.300 5.957
-0.898 6.393 1.186
-5.715 -1.231 -2.985
Ag F Ir
6 12 1
direct
0.312 0.602 0.138
0.602 0.138 0.312
0.862 0.688 0.398
0.138 0.312 0.602
0.398 0.862 0.688
0.688 0.398 0.862
0.949 0.703 0.023
0.297 0.977 0.051
0.597 0.416 0.171
0.977 0.051 0.297
0.584 0.829 0.403
0.171 0.597 0.416
0.829 0.403 0.584
0.416 0.171 0.597
0.023 0.949 0.703
0.403 0.584 0.829
0.703 0.023 0.949
0.051 0.297 0.977
0.000 0.000 0.000
```

***

Entry 20:
A relaxed structure of GdErCSe. Source: the Open Quantum Materials Database, functional PBE.

Summary:
Magnetization ... 0.000 μB per atom
Mass density ... 8.47 g cm⁻³
Final energy ... -52.98 eV per cell

Cell and atoms, written as POSCAR:
```
GdErCSe
1.0
3.762 0.000 0.000
-1.881 3.258 0.000
0.000 0.000 13.289
C Er Gd Se
2 2 2 2
direct
0.000 0.000 0.000
0.000 0.000 0.500
0.333 0.667 0.098
0.667 0.333 0.902
0.333 0.667 0.397
0.667 0.333 0.603
0.667 0.333 0.245
0.333 0.667 0.755
```